(1)
CaSm2Ru | GGA-PBE | relaxed

Lattice parameters (Å, degrees): 4.026 6.566 9.157 90.00 90.00 107.83
Fractional coordinates of all 8 atoms:
Ru (0.248, 0.495, 0.250)
Ru (0.752, 0.505, 0.750)
Sm (0.353, 0.706, 0.934)
Sm (0.647, 0.294, 0.434)
Sm (0.647, 0.294, 0.066)
Sm (0.353, 0.706, 0.566)
Ca (0.074, 0.149, 0.750)
Ca (0.926, 0.851, 0.250)

Results
As for the formation energy: -0.14 eV/atom. Its space-group type is Cmcm. The value obtained for the relative energy among the computed polymorphs is 13 meV per atom. The magnetization comes out at 0.00 μB per formula unit. Its electronic total energy is -5.315 eV per atom. As for the crystal system: orthorhombic.

=====

(2)
ErHfPd | GGA-PBE | relaxed

Lattice parameters (Å, degrees): 3.403 3.403 6.117 106.15 106.15 90.00
Fractional coordinates of all 3 atoms:
Hf (0.312, 0.312, 0.624)
Pd (0.679, 0.679, 0.358)
Er (0.009, 0.009, 0.018)

Results
As for the formation energy: -0.45 eV/atom. Its space-group type is I4mm. The value obtained for the relative energy among the computed polymorphs is 0 meV per atom. The magnetization comes out at 0.00 μB per formula unit. Its electronic total energy is -7.019 eV per atom. As for the crystal system: tetragonal.

=====

(3)
LaCoTe2 | GGA-PBE | relaxed

Lattice parameters (Å, degrees): 6.224 6.224 4.411 89.80 89.80 41.64
Fractional coordinates of all 4 atoms:
La (0.267, 0.267, 0.248)
Co (0.572, 0.572, 0.251)
Te (0.686, 0.686, 0.749)
Te (0.975, 0.975, 0.251)

Results
Its space-group type is Cm. Its uncorrected formation energy is -0.78 eV/atom. The magnetization comes out at 1.25 μB per formula unit. Its electronic total energy is -5.359 eV per atom. As for the crystal system: monoclinic.

=====

(4)
ReTeN | GGA-PBE | relaxed

Lattice parameters (Å, degrees): 3.467 3.467 9.670 90.00 90.00 90.00
Fractional coordinates of all 6 atoms:
N (0.500, 0.500, 0.000)
N (0.000, 0.000, 0.000)
Te (0.000, 0.500, 0.285)
Te (0.500, 0.000, 0.715)
Re (0.500, 0.000, 0.112)
Re (0.000, 0.500, 0.888)

Results
Its space-group type is P4/nmm. Its uncorrected formation energy is 0.32 eV/atom. The magnetization comes out at 0.00 μB per formula unit. Its electronic total energy is -7.650 eV per atom. As for the crystal system: tetragonal.

=====

(5)
CeSmEr | GGA-PBE | relaxed

Lattice parameters (Å, degrees): 3.524 3.524 8.669 90.00 90.00 120.00
Fractional coordinates of all 3 atoms:
Ce (0.667, 0.333, 0.336)
Sm (0.000, 0.000, 0.003)
Er (0.333, 0.667, 0.661)

Results
As for the formation energy: 0.07 eV/atom. Its space-group type is P3m1. The value obtained for the relative energy among the computed polymorphs is 26 meV per atom. The magnetization comes out at 0.59 μB per formula unit. Its electronic total energy is -5.002 eV per atom. As for the crystal system: trigonal.

=====

(6)
Na2PuPN4 | GGA-PBE | relaxed

Lattice parameters (Å, degrees): 3.614 5.147 5.857 101.05 90.00 90.00
Fractional coordinates of all 8 atoms:
Pu (0.500, 0.500, 0.000)
N (0.500, 0.281, 0.227)
N (0.500, 0.719, 0.773)
N (0.000, 0.807, 0.182)
N (0.000, 0.193, 0.818)
Na (0.500, 0.000, 0.500)
Na (0.000, 0.500, 0.500)
P (0.000, 0.000, 0.000)

Results
Its space-group type is P2/m. Its uncorrected formation energy is -0.25 eV/atom. The magnetization comes out at 3.00 μB per formula unit. Its electronic total energy is -7.213 eV per atom. As for the crystal system: monoclinic.

=====

(7)
Th3Si3Rh2 | GGA-PBE | relaxed

Lattice parameters (Å, degrees): 4.275 5.833 14.376 90.00 90.00 111.50
Fractional coordinates of all 16 atoms:
Si (0.327, 0.655, 0.250)
Si (0.673, 0.345, 0.750)
Si (0.606, 0.213, 0.044)
Si (0.394, 0.787, 0.956)
Si (0.606, 0.213, 0.456)
Si (0.394, 0.787, 0.544)
Rh (0.781, 0.562, 0.576)
Rh (0.781, 0.562, 0.924)
Rh (0.219, 0.438, 0.076)
Rh (0.219, 0.438, 0.424)
Th (0.633, 0.266, 0.250)
Th (0.917, 0.834, 0.114)
Th (0.083, 0.166, 0.614)
Th (0.367, 0.734, 0.750)
Th (0.083, 0.166, 0.886)
Th (0.917, 0.834, 0.386)

Results
Its space-group type is Cmcm. Its uncorrected formation energy is -0.90 eV/atom. The value obtained for the relative energy among the computed polymorphs is 39 meV per atom. The magnetization comes out at 0.43 μB per formula unit. Its electronic total energy is -7.558 eV per atom. As for the crystal system: orthorhombic.

=====

(8)
ZnCu2Ag2Pd5 | GGA-PBE | relaxed

Lattice parameters (Å, degrees): 3.025 10.245 10.245 90.00 90.00 90.00
Fractional coordinates of all 20 atoms:
Cu (0.000, 0.858, 0.358)
Cu (0.000, 0.358, 0.142)
Cu (0.000, 0.642, 0.858)
Cu (0.000, 0.142, 0.642)
Pd (0.500, 0.301, 0.525)
Pd (0.500, 0.801, 0.975)
Pd (0.500, 0.000, 0.500)
Pd (0.500, 0.525, 0.699)
Pd (0.500, 0.500, 0.000)
Pd (0.500, 0.699, 0.475)
Pd (0.500, 0.199, 0.025)
Pd (0.500, 0.475, 0.301)
Pd (0.500, 0.025, 0.801)
Pd (0.500, 0.975, 0.199)
Zn (0.000, 0.500, 0.500)
Zn (0.000, 0.000, 0.000)
Ag (0.000, 0.675, 0.175)
Ag (0.000, 0.175, 0.325)
Ag (0.000, 0.325, 0.825)
Ag (0.000, 0.825, 0.675)

Results
As for the formation energy: -0.04 eV/atom. Its space-group type is P4/mbm. The magnetization comes out at 0.00 μB per formula unit. Its electronic total energy is -4.156 eV per atom. As for the crystal system: tetragonal.

=====

(9)
NaMgTi2O6 | GGA-PBE | relaxed

Lattice parameters (Å, degrees): 6.238 7.260 7.260 97.51 73.31 73.31
Fractional coordinates of all 20 atoms:
Mg (0.250, 0.191, 0.809)
Mg (0.750, 0.809, 0.191)
O (0.820, 0.057, 0.222)
O (0.180, 0.943, 0.778)
O (0.437, 0.830, 0.374)
O (0.063, 0.626, 0.170)
O (0.464, 0.434, 0.335)
O (0.563, 0.170, 0.626)
O (0.964, 0.335, 0.434)
O (0.536, 0.566, 0.665)
O (0.320, 0.222, 0.057)
O (0.036, 0.665, 0.566)
O (0.680, 0.778, 0.943)
O (0.937, 0.374, 0.830)
Na (0.250, 0.892, 0.108)
Na (0.750, 0.108, 0.892)
Ti (0.190, 0.426, 0.272)
Ti (0.310, 0.728, 0.574)
Ti (0.810, 0.574, 0.728)
Ti (0.690, 0.272, 0.426)

Results
Its space-group type is C2/c. Its uncorrected formation energy is -2.51 eV/atom. The magnetization comes out at 1.04 μB per formula unit. Its electronic total energy is -7.354 eV per atom. As for the crystal system: monoclinic.

=====

(10)
EuSnGe | GGA-PBE | relaxed

Lattice parameters (Å, degrees): 5.038 4.383 4.383 120.00 90.00 90.00
Fractional coordinates of all 3 atoms:
Eu (0.698, 0.667, 0.333)
Ge (0.037, 0.000, 0.000)
Sn (0.265, 0.333, 0.667)

Results
As for the formation energy: -0.52 eV/atom. Its space-group type is P3m1. The value obtained for the relative energy among the computed polymorphs is 0 meV per atom. The magnetization comes out at 7.03 μB per formula unit. Its electronic total energy is -6.818 eV per atom. As for the crystal system: trigonal.

=====

(11)
NaMnCr | GGA-PBE | relaxed

Lattice parameters (Å, degrees): 2.884 4.045 10.624 90.00 97.86 90.00
Fractional coordinates of all 6 atoms:
Cr (0.233, 0.500, 0.320)
Cr (0.726, 0.000, 0.307)
Mn (0.636, 0.500, 0.129)
Mn (0.129, 0.000, 0.113)
Na (0.354, 0.000, 0.572)
Na (0.991, 0.500, 0.864)

Results
As for the formation energy: 0.43 eV/atom. Its space-group type is Pm. The value obtained for the relative energy among the computed polymorphs is 0 meV per atom. The magnetization comes out at 0.02 μB per formula unit. Its electronic total energy is -6.275 eV per atom. As for the crystal system: monoclinic.

=====

(12)
Ta2IrRu | GGA-PBE | relaxed

Lattice parameters (Å, degrees): 2.872 5.004 5.591 53.77 90.00 90.00
Fractional coordinates of all 4 atoms:
Ta (0.000, 0.000, 0.000)
Ta (0.500, 0.500, 0.000)
Ir (0.500, 0.500, 0.500)
Ru (0.000, 0.000, 0.500)

Results
As for the formation energy: -0.16 eV/atom. Its space-group type is P2/m. The magnetization comes out at 0.00 μB per formula unit. Its electronic total energy is -10.616 eV per atom. As for the crystal system: monoclinic.